Computed, not measured: a relaxed TbHg2Pb crystal at the PBE level of DFT.

Results
E_form: -0.766 eV per formula unit

Cell: 4.7809 4.7809 6.5382 Å, 68.55 68.55 60.00°
Atoms (fractional coordinates):
Tb  0.6760  0.6760  0.9719
Pb  0.4881  0.4881  0.5358
Hg  0.0790  0.0790  0.7631
Hg  0.2569  0.2569  0.2292

Computed, not measured: a relaxed Tb5HgPb4 crystal at the PBE level of DFT.

Results
E_form: -3.487 eV per formula unit

Cell: 6.3372 7.6583 7.6583 Å, 80.14 65.56 65.56°
Atoms (fractional coordinates):
Hg  0.1202  0.0000  0.0000
Tb  0.0693  0.5938  0.2135
Pb  0.3667  0.3914  0.8150
Pb  0.5731  0.6086  0.1850
Tb  0.8766  0.4062  0.7865
Pb  0.7581  0.8150  0.6086
Tb  0.2827  0.7865  0.5938
Tb  0.6631  0.2135  0.4062
Pb  0.1817  0.1850  0.3914
Tb  0.6189  0.0000  0.0000

Computed, not measured: a relaxed Tb3HgPb3 crystal at the PBE level of DFT.

Results
E_form: -1.974 eV per formula unit

Cell: 5.8300 8.8883 8.8883 Å, 120.00 90.00 90.00°
Atoms (fractional coordinates):
Pb  0.7500  0.7419  0.9448
Tb  0.2500  0.5492  0.9121
Pb  0.2500  0.7971  0.7419
Hg  0.2500  0.6667  0.3333
Tb  0.7500  0.4508  0.0879
Pb  0.7500  0.2029  0.2581
Tb  0.7500  0.9121  0.3629
Hg  0.7500  0.3333  0.6667
Tb  0.7500  0.6371  0.5492
Pb  0.7500  0.0552  0.7971
Pb  0.2500  0.2581  0.0552
Pb  0.2500  0.9448  0.2029
Tb  0.2500  0.3629  0.4508
Tb  0.2500  0.0879  0.6371